(1)
CdInHg2Sb PBE optimized geometry; total DFT energy (no corrections) = -1.21 eV per atom; symmetry = P4/mmm, No. 123; theoretical density = 7.39 g/cm³; DOS at the Fermi energy = 0.810 states/eV per atom
1.0
5.5173 0.0000 0.0000
0.0000 5.5341 0.0000
0.0000 0.0000 5.5173
Cd Hg In Sb
1 2 1 1
Cartesian
0.0000 2.7670 0.0000
2.7587 0.0000 0.0000
0.0000 0.0000 2.7587
0.0000 0.0000 0.0000
2.7587 2.7670 2.7587



(2)
Sc2Cd2In3Hg4 PBE optimized geometry; formation energy from the elements = -132 meV per atom; total DFT energy (no corrections) = -2.31 eV per atom; symmetry = P-3m1, No. 164; theoretical density = 8.99 g/cm³; DOS at the Fermi energy = 0.424 states/eV per atom
1.0
-0.7511 4.2982 -2.3057
-3.0946 -1.4679 3.5530
7.2138 5.9497 8.7411
Sc In Cd Hg
2 3 2 4
Cartesian
4.9640 7.7340 7.5188
-1.5958 1.0459 2.4696
5.3323 4.3979 6.4612
1.8816 1.5518 2.2799
0.0000 0.0000 0.0000
1.5674 4.9326 3.4030
1.8008 3.8474 6.5854
3.8729 5.5563 9.0961
3.2266 6.3011 5.4136
0.1416 2.4789 4.5748
-0.5047 3.2237 0.8923



(3)
ScCdIn2Hg6 PBE optimized geometry; formation energy from the elements = -48 meV per atom; total DFT energy (no corrections) = -1.50 eV per atom; symmetry = C2/c, No. 15; theoretical density = 10.41 g/cm³; DOS at the Fermi energy = 0.439 states/eV per atom
1.0
-7.0087 -3.4647 0.8889
1.0039 -1.6275 7.6328
-1.3444 8.9443 -0.8393
Hg Cd Sc In
12 2 2 4
Cartesian
-4.3970 0.7362 6.7269
-3.5757 0.7800 2.7542
-0.6519 -0.9829 2.7455
-4.3265 -1.6810 4.3167
-3.0228 5.5331 3.3658
-6.6346 6.0085 0.7842
-3.7735 3.0721 4.9282
-6.6974 4.8350 4.9369
-2.9522 3.1159 0.9555
-0.7146 -2.1564 6.8983
-0.7415 2.7335 5.5981
-6.6078 1.1186 2.0844
-7.8195 3.2888 0.4257
0.4703 0.5633 7.2568
-5.3852 3.8470 2.4746
-1.9641 0.0051 5.2078
-0.4634 2.0054 2.7538
-3.7640 5.8749 0.1221
-6.8858 1.8467 4.9286
-3.5853 -2.0228 7.5604



- Look up the total DFT energy (no corrections) of the third one.
  -1.50 eV per atom



- Among the records above, which one has the highest total DFT energy (no corrections)?
  CdInHg2Sb



- Number 3 is which compound?
  ScCdIn2Hg6



- What is the formula in the third record?
  ScCdIn2Hg6